## TaFeS2N (PBE)

Data for TaFeS2N after structural relaxation.

## Properties
Calculated total energy   -7.155 eV per atom
DOS(E_F)   5.6 states/eV per cell

Cell lengths 4.894, 4.894, 3.872 Å; angles 90.00, 90.00, 90.00 degrees
Space group P4/mmm (No. 123)
Asymmetric unit:
Ta 0.000 0.000 0.000 (multiplicity 1)
Fe 0.500 0.500 0.500 (multiplicity 1)
S 0.000 0.500 0.000 (multiplicity 2)
N 0.000 0.000 0.500 (multiplicity 1)


## TaFeSN2 (PBE)

Data for TaFeSN2 after structural relaxation.

## Properties
Calculated total energy   -7.480 eV per atom
DOS(E_F)   2.9 states/eV per cell

Cell lengths 3.661, 3.661, 4.385 Å; angles 90.00, 90.00, 90.00 degrees
Space group P4/mmm (No. 123)
Asymmetric unit:
Ta 0.000 0.000 0.000 (multiplicity 1)
Fe 0.500 0.500 0.500 (multiplicity 1)
S 0.500 0.500 0.000 (multiplicity 1)
N 0.000 0.500 0.500 (multiplicity 2)


## TaFeS2N (PBE)

Data for TaFeS2N after structural relaxation.

## Properties
Calculated total energy   -7.015 eV per atom
DOS(E_F)   2.9 states/eV per cell

Cell lengths 4.575, 4.575, 3.368 Å; angles 90.00, 90.00, 90.00 degrees
Space group P4/mmm (No. 123)
Asymmetric unit:
Ta 0.000 0.000 0.000 (multiplicity 1)
Fe 0.500 0.500 0.500 (multiplicity 1)
S 0.000 0.500 0.500 (multiplicity 2)
N 0.500 0.500 0.000 (multiplicity 1)


## FeTe2SN (PBE)

Data for FeTe2SN after structural relaxation.

## Properties
Calculated total energy   -4.384 eV per atom
DOS(E_F)   6.1 states/eV per cell

Cell lengths 5.523, 5.523, 3.308 Å; angles 90.00, 90.00, 90.00 degrees
Space group P4/mmm (No. 123)
Asymmetric unit:
Fe 0.000 0.000 0.000 (multiplicity 1)
Te 0.000 0.500 0.500 (multiplicity 2)
S 0.500 0.500 0.500 (multiplicity 1)
N 0.500 0.500 0.000 (multiplicity 1)


## FeTe2SN (PBE)

Data for FeTe2SN after structural relaxation.

## Properties
Calculated total energy   -5.053 eV per atom
DOS(E_F)   3.8 states/eV per cell

Cell lengths 5.235, 5.235, 3.403 Å; angles 90.00, 90.00, 90.00 degrees
Space group P4/mmm (No. 123)
Asymmetric unit:
Fe 0.000 0.000 0.000 (multiplicity 1)
Te 0.000 0.500 0.000 (multiplicity 2)
S 0.500 0.500 0.500 (multiplicity 1)
N 0.000 0.000 0.500 (multiplicity 1)


## TiFeSN2 (PBE)

Data for TiFeSN2 after structural relaxation.

## Properties
Calculated total energy   -7.084 eV per atom
DOS(E_F)   4.2 states/eV per cell

Cell lengths 3.604, 3.604, 4.666 Å; angles 90.00, 90.00, 90.00 degrees
Space group P4/mmm (No. 123)
Asymmetric unit:
Ti 0.000 0.000 0.000 (multiplicity 1)
Fe 0.500 0.500 0.500 (multiplicity 1)
S 0.500 0.500 0.000 (multiplicity 1)
N 0.000 0.500 0.500 (multiplicity 2)


## TlFeSN2 (PBE)

Data for TlFeSN2 after structural relaxation.

## Properties
Calculated total energy   -5.539 eV per atom
DOS(E_F)   3.1 states/eV per cell

Cell lengths 3.711, 3.711, 5.112 Å; angles 90.00, 90.00, 90.00 degrees
Space group P4/mmm (No. 123)
Asymmetric unit:
Tl 0.000 0.000 0.000 (multiplicity 1)
Fe 0.500 0.500 0.500 (multiplicity 1)
S 0.500 0.500 0.000 (multiplicity 1)
N 0.000 0.500 0.500 (multiplicity 2)


## Tl2FeSN (PBE)

Data for Tl2FeSN after structural relaxation.

## Properties
Calculated total energy   -4.725 eV per atom
DOS(E_F)   2.8 states/eV per cell

Cell lengths 5.510, 5.510, 3.527 Å; angles 90.00, 90.00, 90.00 degrees
Space group P4/mmm (No. 123)
Asymmetric unit:
Tl 0.000 0.500 0.000 (multiplicity 2)
Fe 0.000 0.000 0.500 (multiplicity 1)
S 0.500 0.500 0.500 (multiplicity 1)
N 0.000 0.000 0.000 (multiplicity 1)


## TlFeSN2 (PBE)

Data for TlFeSN2 after structural relaxation.

## Properties
Calculated total energy   -4.229 eV per atom
DOS(E_F)   5.4 states/eV per cell

Cell lengths 4.182, 4.182, 5.662 Å; angles 90.00, 90.00, 90.00 degrees
Space group P4/mmm (No. 123)
Asymmetric unit:
Tl 0.000 0.000 0.000 (multiplicity 1)
Fe 0.500 0.500 0.500 (multiplicity 1)
S 0.000 0.000 0.500 (multiplicity 1)
N 0.000 0.500 0.000 (multiplicity 2)


## VFeSN2 (PBE)

Data for VFeSN2 after structural relaxation.

## Properties
Calculated total energy   -7.238 eV per atom
DOS(E_F)   5.5 states/eV per cell

Cell lengths 3.693, 3.693, 4.990 Å; angles 90.00, 90.00, 90.00 degrees
Space group P4/mmm (No. 123)
Asymmetric unit:
V 0.000 0.000 0.000 (multiplicity 1)
Fe 0.500 0.500 0.500 (multiplicity 1)
S 0.000 0.000 0.500 (multiplicity 1)
N 0.000 0.500 0.000 (multiplicity 2)


## VFeSN2 (PBE)

Data for VFeSN2 after structural relaxation.

## Properties
Calculated total energy   -7.073 eV per atom
DOS(E_F)   4.4 states/eV per cell

Cell lengths 3.568, 3.568, 4.843 Å; angles 90.00, 90.00, 90.00 degrees
Space group P4/mmm (No. 123)
Asymmetric unit:
V 0.000 0.000 0.000 (multiplicity 1)
Fe 0.500 0.500 0.500 (multiplicity 1)
S 0.500 0.500 0.000 (multiplicity 1)
N 0.000 0.500 0.500 (multiplicity 2)


## VFeS2N (PBE)

Data for VFeS2N after structural relaxation.

## Properties
Calculated total energy   -6.565 eV per atom
DOS(E_F)   3.6 states/eV per cell

Cell lengths 4.701, 4.701, 3.592 Å; angles 90.00, 90.00, 90.00 degrees
Space group P4/mmm (No. 123)
Asymmetric unit:
V 0.000 0.000 0.000 (multiplicity 1)
Fe 0.500 0.500 0.500 (multiplicity 1)
S 0.000 0.500 0.000 (multiplicity 2)
N 0.000 0.000 0.500 (multiplicity 1)


## VFeS2N (PBE)

Data for VFeS2N after structural relaxation.

## Properties
Calculated total energy   -6.439 eV per atom
DOS(E_F)   5.6 states/eV per cell

Cell lengths 4.567, 4.567, 3.375 Å; angles 90.00, 90.00, 90.00 degrees
Space group P4/mmm (No. 123)
Asymmetric unit:
V 0.000 0.000 0.000 (multiplicity 1)
Fe 0.500 0.500 0.500 (multiplicity 1)
S 0.000 0.500 0.500 (multiplicity 2)
N 0.500 0.500 0.000 (multiplicity 1)


## FeWSN2 (PBE)

Data for FeWSN2 after structural relaxation.

## Properties
Calculated total energy   -7.611 eV per atom
DOS(E_F)   4.5 states/eV per cell

Cell lengths 3.790, 3.790, 5.476 Å; angles 90.00, 90.00, 90.00 degrees
Space group P4/mmm (No. 123)
Asymmetric unit:
Fe 0.000 0.000 0.000 (multiplicity 1)
W 0.000 0.000 0.500 (multiplicity 1)
S 0.500 0.500 0.000 (multiplicity 1)
N 0.000 0.500 0.500 (multiplicity 2)


## FeWSN2 (PBE)

Data for FeWSN2 after structural relaxation.

## Properties
Calculated total energy   -7.248 eV per atom
DOS(E_F)   4.0 states/eV per cell

Cell lengths 3.626, 3.626, 4.521 Å; angles 90.00, 90.00, 90.00 degrees
Space group P4/mmm (No. 123)
Asymmetric unit:
Fe 0.000 0.000 0.000 (multiplicity 1)
W 0.500 0.500 0.500 (multiplicity 1)
S 0.000 0.000 0.500 (multiplicity 1)
N 0.000 0.500 0.000 (multiplicity 2)


## YFeSN2 (PBE)

Data for YFeSN2 after structural relaxation.

## Properties
Calculated total energy   -7.352 eV per atom
DOS(E_F)   3.1 states/eV per cell

Cell lengths 3.769, 3.769, 4.642 Å; angles 90.00, 90.00, 90.00 degrees
Space group P4/mmm (No. 123)
Asymmetric unit:
Y 0.000 0.000 0.000 (multiplicity 1)
Fe 0.500 0.500 0.500 (multiplicity 1)
S 0.500 0.500 0.000 (multiplicity 1)
N 0.000 0.500 0.500 (multiplicity 2)


## YFeSN2 (PBE)

Data for YFeSN2 after structural relaxation.

## Properties
Calculated total energy   -6.058 eV per atom
DOS(E_F)   5.3 states/eV per cell

Cell lengths 4.351, 4.351, 5.414 Å; angles 90.00, 90.00, 90.00 degrees
Space group P4/mmm (No. 123)
Asymmetric unit:
Y 0.000 0.000 0.000 (multiplicity 1)
Fe 0.500 0.500 0.500 (multiplicity 1)
S 0.000 0.000 0.500 (multiplicity 1)
N 0.000 0.500 0.000 (multiplicity 2)


## ZnFeS2N (PBE)

Data for ZnFeS2N after structural relaxation.

## Properties
Calculated total energy   -4.077 eV per atom
DOS(E_F)   7.1 states/eV per cell

Cell lengths 4.771, 4.771, 3.656 Å; angles 90.00, 90.00, 90.00 degrees
Space group P4/mmm (No. 123)
Asymmetric unit:
Zn 0.000 0.000 0.000 (multiplicity 1)
Fe 0.500 0.500 0.500 (multiplicity 1)
S 0.000 0.500 0.000 (multiplicity 2)
N 0.000 0.000 0.500 (multiplicity 1)


## ZnFeS2N (PBE)

Data for ZnFeS2N after structural relaxation.

## Properties
Calculated total energy   -4.927 eV per atom
DOS(E_F)   4.0 states/eV per cell

Cell lengths 4.690, 4.690, 3.386 Å; angles 90.00, 90.00, 90.00 degrees
Space group P4/mmm (No. 123)
Asymmetric unit:
Zn 0.000 0.000 0.000 (multiplicity 1)
Fe 0.500 0.500 0.500 (multiplicity 1)
S 0.000 0.500 0.500 (multiplicity 2)
N 0.500 0.500 0.000 (multiplicity 1)


## ZnFeSN2 (PBE)

Data for ZnFeSN2 after structural relaxation.

## Properties
Calculated total energy   -4.517 eV per atom
DOS(E_F)   5.2 states/eV per cell

Cell lengths 3.711, 3.711, 5.482 Å; angles 90.00, 90.00, 90.00 degrees
Space group P4/mmm (No. 123)
Asymmetric unit:
Zn 0.000 0.000 0.000 (multiplicity 1)
Fe 0.500 0.500 0.500 (multiplicity 1)
S 0.000 0.000 0.500 (multiplicity 1)
N 0.000 0.500 0.000 (multiplicity 2)


## ZrFeSN2 (PBE)

Data for ZrFeSN2 after structural relaxation.

## Properties
Calculated total energy   -7.448 eV per atom
DOS(E_F)   3.3 states/eV per cell

Cell lengths 3.721, 3.721, 4.451 Å; angles 90.00, 90.00, 90.00 degrees
Space group P4/mmm (No. 123)
Asymmetric unit:
Zr 0.000 0.000 0.000 (multiplicity 1)
Fe 0.500 0.500 0.500 (multiplicity 1)
S 0.500 0.500 0.000 (multiplicity 1)
N 0.000 0.500 0.500 (multiplicity 2)


## ZrFeSN2 (PBE)

Data for ZrFeSN2 after structural relaxation.

## Properties
Calculated total energy   -6.941 eV per atom
DOS(E_F)   4.9 states/eV per cell

Cell lengths 4.087, 4.087, 5.297 Å; angles 90.00, 90.00, 90.00 degrees
Space group P4/mmm (No. 123)
Asymmetric unit:
Zr 0.000 0.000 0.000 (multiplicity 1)
Fe 0.500 0.500 0.500 (multiplicity 1)
S 0.000 0.000 0.500 (multiplicity 1)
N 0.000 0.500 0.000 (multiplicity 2)


## ZrFeS2N (PBE)

Data for ZrFeS2N after structural relaxation.

## Properties
Calculated total energy   -6.455 eV per atom
DOS(E_F)   5.3 states/eV per cell

Cell lengths 5.047, 5.047, 4.068 Å; angles 90.00, 90.00, 90.00 degrees
Space group P4/mmm (No. 123)
Asymmetric unit:
Zr 0.000 0.000 0.000 (multiplicity 1)
Fe 0.500 0.500 0.500 (multiplicity 1)
S 0.000 0.500 0.000 (multiplicity 2)
N 0.000 0.000 0.500 (multiplicity 1)


## ZrFeS2N (PBE)

Data for ZrFeS2N after structural relaxation.

## Properties
Calculated total energy   -6.986 eV per atom
DOS(E_F)   3.4 states/eV per cell

Cell lengths 4.602, 4.602, 3.440 Å; angles 90.00, 90.00, 90.00 degrees
Space group P4/mmm (No. 123)
Asymmetric unit:
Zr 0.000 0.000 0.000 (multiplicity 1)
Fe 0.500 0.500 0.500 (multiplicity 1)
S 0.000 0.500 0.500 (multiplicity 2)
N 0.500 0.500 0.000 (multiplicity 1)


## FeSbN (PBE)

Data for FeSbN after structural relaxation.

## Properties
Calculated total energy   -6.421 eV per atom
DOS(E_F)   2.6 states/eV per cell

Cell lengths 3.274, 4.836, 6.512 Å; angles 86.23, 89.93, 70.26 degrees
Space group P1 (No. 1)
Asymmetric unit:
Fe 0.000 0.000 0.000 (multiplicity 1)
Fe 0.362 0.277 0.792 (multiplicity 1)
Sb 0.087 0.827 0.580 (multiplicity 1)
Sb 0.734 0.531 0.092 (multiplicity 1)
N 0.133 0.733 0.249 (multiplicity 1)
N 0.446 0.109 0.538 (multiplicity 1)


## FeSbSeN2 (PBE)

Data for FeSbSeN2 after structural relaxation.

## Properties
Calculated total energy   -5.619 eV per atom
DOS(E_F)   4.1 states/eV per cell

Cell lengths 3.809, 3.809, 4.983 Å; angles 90.00, 90.00, 90.00 degrees
Space group P4/mmm (No. 123)
Asymmetric unit:
Fe 0.000 0.000 0.000 (multiplicity 1)
Sb 0.500 0.500 0.500 (multiplicity 1)
Se 0.000 0.000 0.500 (multiplicity 1)
N 0.000 0.500 0.000 (multiplicity 2)


## FeSbSeN2 (PBE)

Data for FeSbSeN2 after structural relaxation.

## Properties
Calculated total energy   -5.151 eV per atom
DOS(E_F)   6.2 states/eV per cell

Cell lengths 3.961, 3.961, 5.718 Å; angles 90.00, 90.00, 90.00 degrees
Space group P4/mmm (No. 123)
Asymmetric unit:
Fe 0.000 0.000 0.000 (multiplicity 1)
Sb 0.500 0.500 0.500 (multiplicity 1)
Se 0.500 0.500 0.000 (multiplicity 1)
N 0.000 0.500 0.500 (multiplicity 2)


## FeTc2SbN (PBE)

Data for FeTc2SbN after structural relaxation.

## Properties
Calculated total energy   -8.217 eV per atom
DOS(E_F)   3.4 states/eV per cell

Cell lengths 4.153, 4.153, 3.813 Å; angles 90.00, 90.00, 90.00 degrees
Space group P4/mmm (No. 123)
Asymmetric unit:
Fe 0.000 0.000 0.000 (multiplicity 1)
Tc 0.000 0.500 0.500 (multiplicity 2)
Sb 0.500 0.500 0.000 (multiplicity 1)
N 0.000 0.000 0.500 (multiplicity 1)


## Fe2TcSbN (PBE)

Data for Fe2TcSbN after structural relaxation.

## Properties
Calculated total energy   -7.834 eV per atom
DOS(E_F)   5.9 states/eV per cell

Cell lengths 3.927, 3.927, 4.090 Å; angles 90.00, 90.00, 90.00 degrees
Space group P4/mmm (No. 123)
Asymmetric unit:
Fe 0.000 0.500 0.000 (multiplicity 2)
Tc 0.000 0.000 0.500 (multiplicity 1)
Sb 0.500 0.500 0.500 (multiplicity 1)
N 0.000 0.000 0.000 (multiplicity 1)